{
  "formula": "PmSmYMg",
  "functional": "PBE-GGA",
  "state": "optimized geometry",
  "e_above_lowest_polymorph_ev_per_atom": 0.000,
  "sg": "P4mm, No. 99",
  "formation_energy_kj_per_mol_fu": -15,
  "final_energy_ev_per_atom": -4.4199,
  "lattice": [[3.6719, 0.0000, 0.0000], [0.0000, 3.6719, 0.0000], [0.0000, 0.0000, 9.1957]],
  "species": ["Pm", "Sm", "Y", "Mg"],
  "frac_coords": [[0.0000, 0.0000, 0.0000], [0.5000, 0.5000, 0.7271], [0.0000, 0.0000, 0.4580], [0.5000, 0.5000, 0.2344]]
}